VASP calculation (PBE) on a relaxed structure of Cr2NiBOs.

a b c (Å): 4.5916 4.5558 4.5916
angles (deg): 90.00 90.00 90.00
Atoms (fractional coordinates):
Ni  0.0000  0.5000  0.0000
Cr  0.5000  0.0000  0.0000
Os  0.0000  0.0000  0.0000
B  0.5000  0.5000  0.5000
Cr  0.0000  0.0000  0.5000

Calculated values
- calculated formation energy (meV per atom) = 2040
- crystal system = tetragonal
- DOS at the Fermi energy (states/eV/f.u.) = 4.60
- M_tot (μB per formula unit) = 5.149

VASP calculation (PBE) on a relaxed structure of La3SmH.

a b c (Å): 5.2550 5.2550 5.2550
angles (deg): 90.00 90.00 90.00
Atoms (fractional coordinates):
La  0.5000  0.0000  0.0000
Sm  0.5000  0.5000  0.5000
La  0.0000  0.0000  0.5000
H  0.0000  0.0000  0.0000
La  0.0000  0.5000  0.0000

Calculated values
- total DFT energy (no corrections) (eV/atom) = -4.74
- crystal system = cubic
- DOS at the Fermi energy (states/eV/f.u.) = 5.07
- M_tot (μB per formula unit) = 0.000

VASP calculation (PBE) on a relaxed structure of Sr4Ga3Cu5.

a b c (Å): 4.5132 7.7912 10.0756
angles (deg): 66.05 77.06 73.16
Atoms (fractional coordinates):
Sr  0.9413  0.2648  0.8526
Cu  0.4173  0.0617  0.1037
Ga  0.6027  0.1552  0.6393
Cu  0.5827  0.9383  0.8963
Cu  0.2818  0.4156  0.0207
Cu  0.7182  0.5844  0.9793
Sr  0.7461  0.2172  0.2907
Ga  0.3973  0.8448  0.3607
Sr  0.0587  0.7352  0.1474
Cu  0.5000  0.5000  0.5000
Sr  0.2539  0.7828  0.7093
Ga  0.0000  0.5000  0.5000

Calculated values
- calculated formation energy (meV per atom) = -126
- crystal system = monoclinic
- DOS at the Fermi energy (states/eV/f.u.) = 6.64
- M_tot (μB per formula unit) = 0.000

VASP calculation (PBE) on a relaxed structure of CaCo.

a b c (Å): 3.9803 3.9504 6.4550
angles (deg): 90.00 90.00 90.00
Atoms (fractional coordinates):
Ca  0.0000  0.0000  0.9115
Co  0.5000  0.5000  0.7452
Co  0.5000  0.0000  0.5881
Ca  0.0000  0.5000  0.4218

Calculated values
- calculated formation energy (meV per atom) = 274
- crystal system = orthorhombic
- DOS at the Fermi energy (states/eV/f.u.) = 2.08
- M_tot (μB per formula unit) = 1.064

VASP calculation (PBE) on a relaxed structure of MnZn2Pt.

a b c (Å): 4.5983 4.5983 2.8418
angles (deg): 90.00 90.00 106.44
Atoms (fractional coordinates):
Pt  0.0000  0.5000  0.5000
Mn  0.5000  0.0000  0.5000
Zn  0.5000  0.5000  0.0000
Zn  0.0000  0.0000  0.0000

Calculated values
- calculated formation energy (meV per atom) = -227
- crystal system = orthorhombic
- DOS at the Fermi energy (states/eV/f.u.) = 2.09
- M_tot (μB per formula unit) = 3.428

VASP calculation (PBE) on a relaxed structure of Pa2CuOs.

a b c (Å): 3.3817 3.3817 7.1541
angles (deg): 90.00 90.00 90.00
Atoms (fractional coordinates):
Os  0.5000  0.5000  0.5000
Cu  0.5000  0.5000  0.0000
Pa  0.0000  0.0000  0.2587
Pa  0.0000  0.0000  0.7413

Calculated values
- energy above the lowest structure with this stoichiometry (eV per formula unit) = 0.15
- calculated formation energy (meV per atom) = -38
- crystal system = tetragonal
- DOS at the Fermi energy (states/eV/f.u.) = 6.32
- M_tot (μB per formula unit) = 0.000

VASP calculation (PBE) on a relaxed structure of BaLiLa2Be.

a b c (Å): 5.7159 5.2644 5.7159
angles (deg): 90.00 90.00 90.00
Atoms (fractional coordinates):
Ba  0.5000  0.5000  0.5000
Be  0.0000  0.0000  0.0000
La  0.0000  0.0000  0.5000
La  0.5000  0.0000  0.0000
Li  0.0000  0.5000  0.0000

Calculated values
- calculated formation energy (meV per atom) = 366
- crystal system = tetragonal
- DOS at the Fermi energy (states/eV/f.u.) = 5.07
- M_tot (μB per formula unit) = 0.000

VASP calculation (PBE) on a relaxed structure of CeCoNiGe2.

a b c (Å): 4.0858 4.0858 5.7651
angles (deg): 110.75 110.75 90.00
Atoms (fractional coordinates):
Ge  0.3710  0.3710  0.7420
Ni  0.2500  0.7500  0.5000
Ge  0.6290  0.6290  0.2580
Ce  0.0000  0.0000  0.0000
Co  0.7500  0.2500  0.5000

Calculated values
- calculated formation energy (meV per atom) = -614
- crystal system = tetragonal
- DOS at the Fermi energy (states/eV/f.u.) = 5.05
- M_tot (μB per formula unit) = 1.760

VASP calculation (PBE) on a relaxed structure of Th2MgFe.

a b c (Å): 3.8375 3.8375 10.2555
angles (deg): 79.22 79.22 60.00
Atoms (fractional coordinates):
Mg  0.0000  0.0000  0.0000
Th  0.8827  0.8827  0.3518
Th  0.1173  0.1173  0.6482
Fe  0.5000  0.5000  0.5000

Calculated values
- energy above the lowest structure with this stoichiometry (eV per formula unit) = 1.14
- calculated formation energy (meV per atom) = 241
- crystal system = trigonal
- DOS at the Fermi energy (states/eV/f.u.) = 4.12
- M_tot (μB per formula unit) = 0.000

VASP calculation (PBE) on a relaxed structure of Re2BiSb2.

a b c (Å): 4.7136 4.7136 6.1164
angles (deg): 67.34 67.34 90.00
Atoms (fractional coordinates):
Re  0.2500  0.7500  0.5000
Re  0.7500  0.2500  0.5000
Bi  0.0000  0.0000  0.0000
Sb  0.6356  0.6356  0.7288
Sb  0.3644  0.3644  0.2712

Calculated values
- E_form (uncorrected) (eV/f.u.) = 3.7
- crystal system = tetragonal
- DOS at the Fermi energy (states/eV/f.u.) = 6.16
- M_tot (μB per formula unit) = 0.000

VASP calculation (PBE) on a relaxed structure of Sr2Mg2Bi2As.

a b c (Å): 5.0279 5.0279 9.5273
angles (deg): 105.30 105.30 90.00
Atoms (fractional coordinates):
Bi  0.3693  0.3693  0.7385
Mg  0.0000  0.5000  0.0000
As  0.0000  0.0000  0.0000
Bi  0.6307  0.6307  0.2615
Sr  0.1722  0.1722  0.3445
Sr  0.8278  0.8278  0.6555
Mg  0.5000  0.0000  0.0000

Calculated values
- calculated formation energy (meV per atom) = -620
- crystal system = tetragonal
- DOS at the Fermi energy (states/eV/f.u.) = 6.26
- M_tot (μB per formula unit) = 0.000